Record 1
VASP calculation (PBEsol) on a relaxed structure of Mo2AsOs.

space group	No. 35
calculated density	12.5	g/cm3
total DFT energy (no corrections)	-9.8170	eV per atom
spin magnetization	0.00	μB per cell

```
Mo2AsOs
1.0
-2.076 -1.784 0.346
1.554 0.215 2.269
-5.014 6.385 2.830
Mo As Os
2 1 1
Direct
0.500 0.500 0.747
0.000 0.000 0.000
0.500 0.500 0.249
0.000 0.000 0.503
```

=====

Record 2
VASP calculation (PBEsol) on a relaxed structure of CdHg2.

space group	No. 227
calculated density	12.2	g/cm3
excess energy over the best structure of this formula in the dataset	0.036	eV per atom
total DFT energy (no corrections)	-0.7492	eV per atom
spin magnetization	0.00	μB per cell

```
CdHg2
1.0
-5.826 6.708 -2.539
-8.043 -2.140 -4.014
-7.925 1.220 4.593
Hg Cd
16 8
Direct
0.125 0.625 0.625
0.625 0.625 0.625
0.428 0.428 0.072
0.428 0.072 0.428
0.072 0.428 0.072
0.822 0.178 0.178
0.822 0.178 0.822
0.625 0.625 0.125
0.178 0.178 0.822
0.822 0.822 0.178
0.072 0.072 0.428
0.178 0.822 0.822
0.072 0.428 0.428
0.178 0.822 0.178
0.625 0.125 0.625
0.428 0.072 0.072
0.842 0.842 0.475
0.408 0.408 0.408
0.408 0.775 0.408
0.842 0.842 0.842
0.408 0.408 0.775
0.842 0.475 0.842
0.775 0.408 0.408
0.475 0.842 0.842
```

=====

Record 3
VASP calculation (PBEsol) on a relaxed structure of Zr3GaPd.

space group	No. 221
calculated density	6.1	g/cm3
total DFT energy (no corrections)	-6.9363	eV per atom
spin magnetization	0.00	μB per cell

```
Zr3GaPd
1.0
-0.818 3.774 -3.113
-3.764 1.531 2.844
3.125 2.831 2.611
Zr Pd Ga
3 1 1
Direct
0.000 0.500 0.000
0.000 0.000 0.500
0.500 0.000 0.000
0.000 0.000 0.000
0.500 0.500 0.500
```

=====

Record 4
VASP calculation (PBEsol) on a relaxed structure of TaP3.

space group	No. 139
calculated density	8.0	g/cm3
total DFT energy (no corrections)	-7.3731	eV per atom
spin magnetization	0.00	μB per cell

```
TaP3
1.0
3.681 0.000 0.000
0.000 3.681 0.000
-1.841 -1.841 4.216
Ta P
1 3
Direct
0.000 0.000 0.000
0.750 0.250 0.500
0.500 0.500 0.000
0.250 0.750 0.500
```

=====

Record 5
VASP calculation (PBEsol) on a relaxed structure of NaTl.

space group	No. 64
calculated density	6.7	g/cm3
total DFT energy (no corrections)	-2.1074	eV per atom
spin magnetization	0.00	μB per cell

```
NaTl
1.0
-0.534 -3.213 6.932
9.293 1.118 1.234
-2.201 8.393 3.720
Na Tl
12 12
Direct
0.554 0.711 0.289
0.946 0.211 0.789
0.500 0.347 0.347
0.054 0.789 0.211
0.000 0.153 0.153
0.446 0.289 0.711
0.000 0.847 0.847
0.500 0.653 0.653
0.250 0.938 0.562
0.750 0.062 0.438
0.750 0.562 0.938
0.250 0.438 0.062
0.873 0.753 0.531
0.300 0.070 0.930
0.627 0.969 0.747
0.873 0.469 0.247
0.800 0.430 0.570
0.200 0.570 0.430
0.700 0.930 0.070
0.627 0.253 0.031
0.373 0.747 0.969
0.127 0.247 0.469
0.373 0.031 0.253
0.127 0.531 0.753
```

=====

Record 6
VASP calculation (PBEsol) on a relaxed structure of AlZnIr4.

space group	No. 216
calculated density	15.2	g/cm3
total DFT energy (no corrections)	-7.2270	eV per atom
spin magnetization	0.00	μB per cell

```
AlZnIr4
1.0
-1.054 3.576 3.489
-4.258 2.788 -0.408
-3.836 -0.701 3.296
Al Zn Ir
1 1 4
Direct
0.000 0.000 0.000
0.250 0.250 0.250
0.625 0.625 0.125
0.125 0.625 0.625
0.625 0.125 0.625
0.625 0.625 0.625
```

=====

Record 7
VASP calculation (PBEsol) on a relaxed structure of Cd2SbPb.

space group	No. 6
calculated density	9.0	g/cm3
formation energy (no corrections)	0.063	eV/atom
excess energy over the best structure of this formula in the dataset	0.000	eV per atom
total DFT energy (no corrections)	-2.6742	eV per atom
spin magnetization	0.00	μB per cell

```
Cd2SbPb
1.0
-2.418 1.793 -1.109
-2.283 -3.635 -0.900
-1.661 -0.748 7.240
Cd Pb Sb
2 1 1
Direct
0.941 0.000 0.012
0.551 0.500 0.227
0.170 0.000 0.461
0.338 0.500 0.800
```

=====

Record 8
VASP calculation (PBEsol) on a relaxed structure of LiNbSi2.

space group	No. 225
calculated density	4.4	g/cm3
formation energy (no corrections)	-0.028	eV/atom
total DFT energy (no corrections)	-6.0984	eV per atom
spin magnetization	0.00	μB per cell

```
LiNbSi2
1.0
4.356 0.000 0.000
2.178 3.773 0.000
2.178 1.258 3.557
Li Si Nb
1 2 1
Direct
0.000 0.000 0.000
0.750 0.750 0.750
0.250 0.250 0.250
0.500 0.500 0.500
```

=====

Record 9
VASP calculation (PBEsol) on a relaxed structure of NbPHO5.

space group	No. 2
calculated density	3.5	g/cm3
total DFT energy (no corrections)	-7.8317	eV per atom
spin magnetization	2.00	μB per cell

```
NbPHO5
1.0
5.401 -0.102 0.000
-0.812 5.324 -0.042
-2.031 -2.851 6.792
O H Nb P
10 2 2 2
Direct
0.668 0.208 0.354
0.125 0.316 0.279
0.332 0.792 0.646
0.395 0.263 0.637
0.259 0.818 0.112
0.875 0.684 0.721
0.712 0.815 0.081
0.605 0.737 0.363
0.741 0.182 0.888
0.288 0.185 0.919
0.033 0.678 0.674
0.967 0.322 0.326
0.000 0.000 0.000
0.500 0.500 0.500
0.560 0.892 0.226
0.440 0.108 0.774
```

=====

Record 10
VASP calculation (PBEsol) on a relaxed structure of MgTiNiP3O12.

space group	No. 161
calculated density	3.3	g/cm3
formation energy (no corrections)	-2.225	eV/atom
total DFT energy (no corrections)	-7.5897	eV per atom
spin magnetization	1.99	μB per cell

```
MgTiNiP3O12
1.0
8.360 -0.002 -0.002
4.068 7.304 -0.002
4.068 2.390 6.901
P O Mg Ni Ti
6 24 2 2 2
Direct
0.544 0.960 0.247
0.960 0.247 0.544
0.460 0.044 0.747
0.747 0.460 0.044
0.044 0.747 0.460
0.247 0.544 0.960
0.881 0.680 0.505
0.084 0.743 0.943
0.012 0.810 0.619
0.553 0.759 0.410
0.680 0.505 0.881
0.619 0.012 0.810
0.810 0.619 0.012
0.505 0.881 0.680
0.381 0.005 0.180
0.910 0.259 0.053
0.743 0.943 0.084
0.259 0.053 0.910
0.443 0.243 0.584
0.759 0.410 0.553
0.310 0.512 0.119
0.005 0.180 0.381
0.119 0.310 0.512
0.410 0.553 0.759
0.512 0.119 0.310
0.243 0.584 0.443
0.943 0.084 0.743
0.584 0.443 0.243
0.180 0.381 0.005
0.053 0.910 0.259
0.997 0.997 0.997
0.497 0.497 0.497
0.859 0.859 0.859
0.359 0.359 0.359
0.642 0.642 0.642
0.142 0.142 0.142
```

=====

Record 11
VASP calculation (PBEsol) on a relaxed structure of Rb2NaVCl6.

space group	No. 225
calculated density	3.0	g/cm3
formation energy (no corrections)	-1.656	eV/atom
total DFT energy (no corrections)	-4.1687	eV per atom
spin magnetization	2.00	μB per cell

```
Rb2NaVCl6
1.0
7.137 0.000 0.000
3.569 6.181 0.000
3.569 2.060 5.828
Cl Rb V Na
6 2 1 1
Direct
0.767 0.767 0.233
0.233 0.767 0.233
0.233 0.767 0.767
0.767 0.233 0.767
0.767 0.233 0.233
0.233 0.233 0.767
0.750 0.750 0.750
0.250 0.250 0.250
0.000 0.000 0.000
0.500 0.500 0.500
```

=====

Record 12
VASP calculation (PBEsol) on a relaxed structure of Zr2CuAu.

space group	No. 123
calculated density	10.4	g/cm3
total DFT energy (no corrections)	-6.9172	eV per atom
spin magnetization	0.00	μB per cell

```
Zr2CuAu
1.0
4.045 0.000 0.000
0.000 4.185 0.000
0.000 0.000 4.185
Zr Au Cu
2 1 1
Direct
0.000 0.500 0.000
0.000 0.000 0.500
0.500 0.500 0.500
0.500 0.000 0.000
```

=====

> The lowest calculated density belongs to which entry?

Rb2NaVCl6